Computed, not measured: an optimized crystal structure of TbYScAg at the PBE level of DFT.

```
4
Lattice="-4.8018 -2.0449 -0.7954 -0.7769 -5.1954 0.5261 -2.7897 -1.8519 4.0817" Properties=species:S:1:pos:R:3 pbc="T T T"
Tb -2.0921 -2.2730 0.9531
Ag 0.0000 0.0000 0.0000
Y -6.2763 -6.8191 2.8593
Sc -4.1842 -4.5461 1.9062
```

Calculated values
- D(E_F): 4.07 states/eV/cell
- Size of the total moment: 0.00 μB per cell
- Space group: F-43m
- Energy of formation from the pure elements: 0.028 eV/atom
- Calculated total energy: -20.16 eV for the cell shown